VASP calculation (GGA+U) on a relaxed BaSmEuVO6 crystal.

abc: 5.922 5.922 5.922
angles: 60.00 60.00 60.00
Fractional positions:
1 Ba 0.000 0.000 0.000
2 Sm 0.750 0.750 0.750
3 Eu 0.500 0.500 0.500
4 V 0.250 0.250 0.250
5 O 0.022 0.022 0.478
6 O 0.022 0.478 0.022
7 O 0.022 0.478 0.478
8 O 0.478 0.022 0.022
9 O 0.478 0.022 0.478
10 O 0.478 0.478 0.022

**SG**: F-43m
**Uncorrected energy**: -80.7 eV/f.u.